Entry 1:
DFT (PBE-GGA) results for crystalline PmTmPuPb at its relaxed geometry.

The calculation puts the formation energy at -26 meV/atom. For the density of states at the Fermi level, the calculation gives 61.66 states/eV/cell.

The space group is F-43m (No. 216) and the conventional cell measures 7.716, 7.716 and 7.716 Å, with angles of 90.00, 90.00 and 90.00 degrees. The asymmetric unit holds Pm at (0.000, 0.000, 0.000), Tm at (0.000, 0.000, 0.500), Pu at (0.250, 0.250, 0.750) and Pb at (0.250, 0.250, 0.250).

=====

Entry 2:
DFT (PBE-GGA) results for crystalline PmPuZnPb at its relaxed geometry.

The calculation puts the formation energy at -206 meV/atom. For the density of states at the Fermi level, the calculation gives 40.33 states/eV/cell.

The space group is F-43m (No. 216) and the conventional cell measures 7.570, 7.570 and 7.570 Å, with angles of 90.00, 90.00 and 90.00 degrees. The asymmetric unit holds Pm at (0.000, 0.000, 0.000), Pu at (0.000, 0.000, 0.500), Zn at (0.250, 0.250, 0.250) and Pb at (0.250, 0.250, 0.750).